# 1
Entry from Alexandria via LeMat-Bulk: an optimized crystal structure of Y3TiSb (PBE-GGA).

Mass density in Mg/m³: 4.0
Total DFT energy (no corrections) in eV per cell: -29.42
Raw formation energy in eV/atom: 0.40
Distance to the lowest polymorph of the same formula in meV per atom: 81.4

Cell and atoms, written as POSCAR:
```
Y3TiSb
1.0
5.6659 0.0000 0.0000
0.0000 5.6659 0.0000
0.0000 0.0000 5.6659
Y Ti Sb
3 1 1
Cartesian
0.0000 0.0000 2.8329
0.0000 2.8329 0.0000
2.8329 0.0000 0.0000
2.8329 2.8329 2.8329
0.0000 0.0000 0.0000
```

=====

# 2
Entry from Alexandria via LeMat-Bulk: an optimized crystal structure of Rb2BiSeO6 (PBE-GGA).

Mass density in Mg/m³: 6.2
Total DFT energy (no corrections) in eV per cell: -48.37
Raw formation energy in eV/atom: -0.93

Cell and atoms, written as POSCAR:
```
Rb2BiSeO6
1.0
0.0000 4.2133 4.2133
4.2133 0.0000 4.2133
4.2133 4.2133 0.0000
Rb Bi Se O
2 1 1 6
Cartesian
2.1067 2.1067 2.1067
6.3200 6.3200 6.3200
0.0000 0.0000 0.0000
4.2133 4.2133 4.2133
4.2133 4.2133 2.3658
4.2133 2.3658 4.2133
6.0609 4.2133 4.2133
2.3658 4.2133 4.2133
4.2133 6.0609 4.2133
4.2133 4.2133 6.0609
```

=====

# 3
Entry from Alexandria via LeMat-Bulk: an optimized crystal structure of CuSnN (PBE-GGA).

Mass density in Mg/m³: 6.9
Total DFT energy (no corrections) in eV per cell: -31.11
Raw formation energy in eV/atom: 0.29
Distance to the lowest polymorph of the same formula in meV per atom: 53.3

Cell and atoms, written as POSCAR:
```
CuSnN
1.0
5.3556 0.0000 0.0000
0.0000 3.3236 0.0000
-2.1995 0.0000 5.2820
Cu Sn N
2 2 2
Cartesian
0.0000 0.0000 0.0000
-0.6967 1.6618 1.9702
0.1939 1.6618 4.6432
1.5709 0.0000 2.1081
1.5463 0.0000 4.2299
2.7873 1.6618 1.5240
```

=====

# 4
Entry from Alexandria via LeMat-Bulk: an optimized crystal structure of SiBSeS (PBE-GGA).

Mass density in Mg/m³: 2.9
Total DFT energy (no corrections) in eV per cell: -20.71
Raw formation energy in eV/atom: -0.25
Distance to the lowest polymorph of the same formula in meV per atom: 0.0

Cell and atoms, written as POSCAR:
```
SiBSeS
1.0
3.3296 0.0000 0.0000
0.0000 1.6343 7.8347
0.0000 -1.6343 7.8347
Si B Se S
1 1 1 1
Cartesian
0.0000 0.0000 0.0000
1.6648 0.0000 14.4758
1.6648 0.0000 5.4113
0.0000 0.0000 9.2433
```

=====

# 5
Entry from Alexandria via LeMat-Bulk: an optimized crystal structure of Ge2Sb2I (PBE-GGA).

Mass density in Mg/m³: 5.9
Total DFT energy (no corrections) in eV per cell: -18.35
Raw formation energy in eV/atom: 0.14
Distance to the lowest polymorph of the same formula in meV per atom: 70.1

Cell and atoms, written as POSCAR:
```
Ge2Sb2I
1.0
-2.2592 2.2592 7.1578
2.2592 -2.2592 7.1578
2.2592 2.2592 -7.1578
Ge Sb I
2 2 1
Cartesian
0.0000 0.0000 1.6444
0.0000 0.0000 12.6712
2.2592 0.0000 3.5789
0.0000 2.2592 3.5789
0.0000 0.0000 7.1578
```

=====

# 6
Entry from Alexandria via LeMat-Bulk: an optimized crystal structure of RbB4O7 (PBE-GGA).

Mass density in Mg/m³: 3.6
Total DFT energy (no corrections) in eV per cell: -176.92
Raw formation energy in eV/atom: -2.17

Cell and atoms, written as POSCAR:
```
RbB4O7
1.0
11.1140 0.0000 0.0000
0.0000 4.6111 0.0000
0.0000 0.0000 4.3399
Rb B O
2 8 14
Cartesian
0.0000 1.0099 0.0000
5.5570 3.6012 2.1699
1.3756 3.1030 2.3045
2.7468 3.8147 0.0104
2.8102 0.7964 2.1804
4.1814 1.5081 0.1345
6.9326 1.5081 0.1345
8.3038 0.7964 2.1804
8.3672 3.8147 0.0104
9.7384 3.1030 2.3045
0.0000 3.3997 1.8995
1.5520 3.3878 3.7060
1.7185 1.7208 2.0448
2.3719 4.0783 1.5141
3.1851 0.5328 3.6841
3.8385 2.8903 4.2147
4.0050 1.2233 1.5360
5.5570 1.2114 4.0695
7.1091 1.2233 1.5360
7.2756 2.8903 4.2147
7.9289 0.5328 3.6841
8.7421 4.0783 1.5141
9.3955 1.7208 2.0448
9.5620 3.3878 3.7060
```